# 1
# Ca2In2O5, optimized geometry, DFT GGA-PBEsol
# Mass density = 5.1 g cm⁻³
# Formation energy (no corrections) = -2.19 eV per atom
data_Ca2In2O5
_symmetry_space_group_name_H-M 'P n m a'
_symmetry_Int_Tables_number 62
_symmetry_space_group_name_Hall '-P 2ac 2n'
_cell_length_a 5.8414
_cell_length_b 15.0068
_cell_length_c 5.8059
_cell_angle_alpha 90.00
_cell_angle_beta 90.00
_cell_angle_gamma 90.00
loop_
_atom_site_label
_atom_site_type_symbol
_atom_site_fract_x
_atom_site_fract_y
_atom_site_fract_z
Ca1 Ca 0.0604 0.1106 0.0176
In1 In 0.0000 0.0000 0.5000
In2 In 0.0746 0.2500 0.5460
O1 O 0.0560 0.6400 0.6128
O2 O 0.0715 0.7500 0.1180
O3 O 0.1984 0.5304 0.1950



# 2
# CaInO3, optimized geometry, DFT GGA-PBEsol
# D(E_F) = 4.10 states/eV/f.u.
# Mass density = 4.4 g cm⁻³
# Formation energy (no corrections) = -0.66 eV per atom
data_CaInO3
_symmetry_space_group_name_H-M 'P m -3 m'
_symmetry_Int_Tables_number 221
_symmetry_space_group_name_Hall '-P 4 2 3'
_cell_length_a 4.2370
_cell_length_b 4.2370
_cell_length_c 4.2370
_cell_angle_alpha 90.00
_cell_angle_beta 90.00
_cell_angle_gamma 90.00
loop_
_atom_site_label
_atom_site_type_symbol
_atom_site_fract_x
_atom_site_fract_y
_atom_site_fract_z
Ca1 Ca 0.0000 0.0000 0.0000
In1 In 0.5000 0.5000 0.5000
O1 O 0.0000 0.0000 0.5000



# 3
# CaInP2O, optimized geometry, DFT GGA-PBEsol
# D(E_F) = 4.35 states/eV/f.u.
# Mass density = 3.6 g cm⁻³
# Formation energy (no corrections) = -0.08 eV per atom
data_CaInP2O
_symmetry_space_group_name_H-M 'P 4/m m m'
_symmetry_Int_Tables_number 123
_symmetry_space_group_name_Hall '-P 4 2'
_cell_length_a 5.0954
_cell_length_b 5.0954
_cell_length_c 4.0893
_cell_angle_alpha 90.00
_cell_angle_beta 90.00
_cell_angle_gamma 90.00
loop_
_atom_site_label
_atom_site_type_symbol
_atom_site_fract_x
_atom_site_fract_y
_atom_site_fract_z
Ca1 Ca 0.0000 0.0000 0.0000
In1 In 0.5000 0.5000 0.5000
P1 P 0.0000 0.5000 0.5000
O1 O 0.5000 0.5000 0.0000



# 4
# CaIn2P3O12, optimized geometry, DFT GGA-PBEsol
# D(E_F) = 11.28 states/eV/f.u.
# Mass density = 4.1 g cm⁻³
# Formation energy (no corrections) = -2.16 eV per atom
data_CaIn2P3O12
_symmetry_space_group_name_H-M 'P 1 21/c 1'
_symmetry_Int_Tables_number 14
_symmetry_space_group_name_Hall '-P 2ybc'
_cell_length_a 6.5733
_cell_length_b 20.4891
_cell_length_c 9.1940
_cell_angle_alpha 90.00
_cell_angle_beta 133.78
_cell_angle_gamma 90.00
loop_
_atom_site_label
_atom_site_type_symbol
_atom_site_fract_x
_atom_site_fract_y
_atom_site_fract_z
Ca1 Ca 0.2060 0.0753 0.0687
In1 In 0.3161 0.0967 0.7149
In2 In 0.3370 0.7110 0.3953
P1 P 0.1598 0.2438 0.1050
P2 P 0.1717 0.5524 0.2925
P3 P 0.3008 0.6170 0.8904
O1 O 0.0179 0.1091 0.7365
O2 O 0.0312 0.1997 0.1595
O3 O 0.0616 0.0871 0.4062
O4 O 0.0635 0.5216 0.3795
O5 O 0.0712 0.7160 0.0824
O6 O 0.3168 0.1963 0.0802
O7 O 0.3222 0.5932 0.7405
O8 O 0.3396 0.5051 0.2766
O9 O 0.3713 0.2041 0.7726
O10 O 0.3978 0.6883 0.9466
O11 O 0.4004 0.6062 0.4471
O12 O 0.4764 0.5798 0.0876